Pu6AgOs | PBE | optimized geometry

Properties
Total energy: -99.01 eV/f.u.
Space-group type: No. 123
Energy relative to the elements: 12.9 kJ/mol of atoms
M_tot: 23.158 μB/f.u.
Crystal system: tetragonal
D(E_F): 28.105 states/eV/cell

Unit cell a=4.720 b=4.720 c=8.208 alpha=90.00 beta=90.00 gamma=90.00
Fractional coordinates of all 8 atoms:
Pu 0.000 0.000 0.000
Pu 0.000 0.000 0.500
Pu 0.000 0.500 0.214
Pu 0.000 0.500 0.786
Pu 0.500 0.000 0.214
Pu 0.500 0.000 0.786
Ag 0.500 0.500 0.500
Os 0.500 0.500 0.000